Entry from Alexandria: Y2CuTcPb after structural relaxation (PBE-GGA).

The total energy is -5.8661 eV/atom.

a = 5.292 Å, b = 5.233 Å, c = 5.292 Å
α = 90.00°, β = 90.00°, γ = 90.00°
Atoms (fractional coordinates):
1 Pb 0.000 0.500 0.000
2 Y 0.000 0.000 0.500
3 Y 0.500 0.000 0.000
4 Tc 0.000 0.000 0.000
5 Cu 0.500 0.500 0.500